(1)
The following is a PBE calculation of a relaxed Na4AsAu2N crystal, from OQMD.

Calculated values
- Total DFT energy (no corrections): -3.285 eV per atom
- Symmetry: No. 38
- Crystal system: orthorhombic

Cell lengths 6.346, 5.309, 5.309 Å; angles 109.00, 90.00, 90.00 degrees
Atoms (fractional coordinates):
Na (0.000, 0.176, 0.824)
Na (0.000, 0.824, 0.176)
Na (0.500, 0.568, 0.930)
Na (0.500, 0.930, 0.568)
As (0.500, 0.141, 0.141)
Au (0.227, 0.433, 0.433)
Au (0.773, 0.433, 0.433)
N (0.000, 0.680, 0.680)


(2)
The following is a PBE calculation of a relaxed CsNdS2O8 crystal, from OQMD.

Calculated values
- Spin magnetization: 0.00 μB/f.u.
- Total DFT energy (no corrections): -6.538 eV per atom
- Symmetry: No. 52
- Crystal system: orthorhombic

Cell lengths 9.492, 13.788, 5.413 Å; angles 90.00, 90.00, 90.00 degrees
Atoms (fractional coordinates):
Cs (0.077, 0.250, 0.250)
Cs (0.423, 0.750, 0.250)
Cs (0.577, 0.250, 0.750)
Cs (0.923, 0.750, 0.750)
Nd (0.250, 0.000, 0.676)
Nd (0.250, 0.500, 0.824)
Nd (0.750, 0.000, 0.324)
Nd (0.750, 0.500, 0.176)
S (0.086, 0.588, 0.263)
S (0.086, 0.912, 0.237)
S (0.414, 0.088, 0.237)
S (0.414, 0.412, 0.263)
S (0.586, 0.588, 0.737)
S (0.586, 0.912, 0.763)
S (0.914, 0.088, 0.763)
S (0.914, 0.412, 0.737)
O (0.065, 0.118, 0.777)
O (0.065, 0.382, 0.723)
O (0.096, 0.017, 0.302)
O (0.096, 0.483, 0.198)
O (0.153, 0.607, 0.506)
O (0.153, 0.893, 0.994)
O (0.159, 0.642, 0.063)
O (0.159, 0.858, 0.437)
O (0.341, 0.142, 0.437)
O (0.341, 0.358, 0.063)
O (0.347, 0.107, 0.994)
O (0.347, 0.393, 0.506)
O (0.404, 0.517, 0.198)
O (0.404, 0.983, 0.302)
O (0.435, 0.618, 0.723)
O (0.435, 0.882, 0.777)
O (0.565, 0.118, 0.223)
O (0.565, 0.382, 0.277)
O (0.596, 0.017, 0.698)
O (0.596, 0.483, 0.802)
O (0.653, 0.607, 0.494)
O (0.653, 0.893, 0.006)
O (0.659, 0.642, 0.937)
O (0.659, 0.858, 0.563)
O (0.841, 0.142, 0.563)
O (0.841, 0.358, 0.937)
O (0.847, 0.107, 0.006)
O (0.847, 0.393, 0.494)
O (0.904, 0.517, 0.802)
O (0.904, 0.983, 0.698)
O (0.935, 0.618, 0.277)
O (0.935, 0.882, 0.223)


(3)
The following is a PBE calculation of a relaxed Nb2GeAu crystal, from OQMD.

Calculated values
- Spin magnetization: 0.01 μB/f.u.
- Total DFT energy (no corrections): -6.753 eV per atom
- Symmetry: No. 216
- Crystal system: cubic

Cell lengths 4.649, 4.649, 4.649 Å; angles 60.00, 60.00, 60.00 degrees
Atoms (fractional coordinates):
Nb (0.000, 0.000, 0.000)
Nb (0.250, 0.250, 0.250)
Ge (0.500, 0.500, 0.500)
Au (0.750, 0.750, 0.750)


(4)
The following is a PBE calculation of a relaxed NbTlCoOs crystal, from OQMD.

Calculated values
- Spin magnetization: 0.01 μB/f.u.
- Energy above the lowest structure with this stoichiometry: 6.99 kcal/mol of atoms
- Symmetry: No. 216
- Crystal system: cubic

Cell lengths 4.520, 4.520, 4.520 Å; angles 60.00, 60.00, 60.00 degrees
Atoms (fractional coordinates):
Nb (0.000, 0.000, 0.000)
Tl (0.250, 0.250, 0.250)
Co (0.500, 0.500, 0.500)
Os (0.750, 0.750, 0.750)


Copy entry 3 word for word.
The following is a PBE calculation of a relaxed Nb2GeAu crystal, from OQMD.

Calculated values
- Spin magnetization: 0.01 μB/f.u.
- Total DFT energy (no corrections): -6.753 eV per atom
- Symmetry: No. 216
- Crystal system: cubic

Cell lengths 4.649, 4.649, 4.649 Å; angles 60.00, 60.00, 60.00 degrees
Atoms (fractional coordinates):
Nb (0.000, 0.000, 0.000)
Nb (0.250, 0.250, 0.250)
Ge (0.500, 0.500, 0.500)
Au (0.750, 0.750, 0.750)